[1]
VASP calculation (PBE) on Sc2PtCl after structural relaxation.

- DOS(E_F) (states/eV/f.u.) = 2.61
- symmetry = P4mm, No. 99
- M_tot (μB per atom) = 0.226
- energy relative to the lowest polymorph listed for this composition (meV/atom) = 355
- raw formation energy (meV/atom) = -866

Cell and atoms, written as extended XYZ:
```
4
Lattice="-0.538 -3.225 0.022 1.281 -0.234 -2.999 7.733 -1.267 3.402" Properties=species:S:1:pos:R:3 pbc="T T T"
Cl 3.383 -0.554 1.488
Pt 6.675 -2.763 1.284
Sc 7.522 -1.233 3.309
Sc 2.496 -2.078 -0.554
```

[2]
VASP calculation (PBE) on Sc2PtCl after structural relaxation.

- DOS(E_F) (states/eV/f.u.) = 3.60
- symmetry = P4/mmm, No. 123
- M_tot (μB per atom) = 0.000
- energy relative to the lowest polymorph listed for this composition (meV/atom) = 91
- raw formation energy (meV/atom) = -1129

Cell and atoms, written as extended XYZ:
```
4
Lattice="-3.080 -3.841 0.196 2.128 -1.789 -1.608 2.032 -1.412 4.261" Properties=species:S:1:pos:R:3 pbc="T T T"
Cl 1.294 -0.976 1.196
Pt 1.835 -4.497 2.621
Sc -0.769 -5.524 3.522
Sc -0.246 -2.897 1.296
```